{
  "formula": "KCa2W",
  "functional": "PBE",
  "state": "optimized geometry",
  "total_magnetization_mub_per_atom": 0.000,
  "de_polymorph_mev_per_atom": 192,
  "space_group": "Cmm2",
  "formation_energy_ev_per_atom": 1.0144,
  "cell": [[-1.970, -1.855, -1.590], [2.253, -0.542, -2.116], [3.839, -9.713, 6.573]],
  "species": ["Ca", "Ca", "K", "W"],
  "fractional_positions": [[0.000, 0.000, 0.957], [0.500, 0.500, 0.229], [0.000, 0.000, 0.538], [0.500, 0.500, 0.775]]
}